Entry from the Alexandria database: crystalline TbPm2Pr9 at its relaxed geometry (PBE).

Cell lengths 5.2179, 5.2179, 15.6499 Å; angles 90.00, 90.00, 90.00 degrees
Last column: nearest neighbours and their distance in Å.
Positions (direct):
Pr 0.5000 0.5000 0.0000  8 Pr 3.68, 4 Tb 3.69
Pr 0.5000 0.0000 0.5000  8 Pr 3.69-3.70, 4 Pm 3.70
Pm 0.0000 0.0000 0.3325  12 Pr 3.69-3.70
Pr 0.5000 0.0000 0.8345  2 Tb 3.68, 8 Pr 3.68-3.69, 2 Pm 3.69
Pr 0.0000 0.5000 0.5000  8 Pr 3.69-3.70, 4 Pm 3.70
Pr 0.5000 0.0000 0.1655  2 Tb 3.68, 8 Pr 3.68-3.69, 2 Pm 3.69
Tb 0.0000 0.0000 0.0000  12 Pr 3.68-3.69
Pr 0.0000 0.5000 0.1655  2 Tb 3.68, 8 Pr 3.68-3.69, 2 Pm 3.69
Pm 0.0000 0.0000 0.6675  12 Pr 3.69-3.70
Pr 0.0000 0.5000 0.8345  8 Pr 3.68-3.69, 2 Tb 3.68, 2 Pm 3.69
Pr 0.5000 0.5000 0.3324  4 Pm 3.69, 8 Pr 3.69-3.70
Pr 0.5000 0.5000 0.6676  4 Pm 3.69, 8 Pr 3.69-3.70

V = 35.5 A^3/atom
Formation energy = 0.0132 eV per atom
Density of states at the Fermi level = 20.68 states/eV/f.u.
Crystal system = tetragonal

***

Entry from the Alexandria database: crystalline Tb12Pm6Pr at its relaxed geometry (PBE).

Cell lengths 8.7797, 8.7797, 8.7797 Å; angles 98.79, 98.79, 98.79 degrees
Last column: nearest neighbours and their distance in Å.
Positions (direct):
Pm 0.9017 0.9017 0.3446  1 Pm 3.10, 1 Pr 3.47
Pm 0.9017 0.3446 0.9017  1 Pm 3.10, 1 Pr 3.47
Pm 0.0983 0.0983 0.6554  1 Pm 3.10, 1 Pr 3.47
Tb 0.2423 0.7577 0.5000  6 Tb 3.36-3.55, 4 Pm 3.49-3.58
Tb 0.3560 0.3560 0.0820  6 Tb 3.36-3.65, 2 Pm 3.72
Pm 0.6554 0.0983 0.0983  1 Pm 3.10, 1 Pr 3.47
Tb 0.9180 0.6440 0.6440  6 Tb 3.36-3.65, 2 Pm 3.72
Pm 0.0983 0.6554 0.0983  1 Pm 3.10, 1 Pr 3.47
Tb 0.7577 0.2423 0.5000  6 Tb 3.36-3.55, 4 Pm 3.49-3.58
Tb 0.5000 0.7577 0.2423  6 Tb 3.36-3.55, 4 Pm 3.49-3.58
Tb 0.5000 0.2423 0.7577  6 Tb 3.36-3.55, 4 Pm 3.49-3.58
Tb 0.7577 0.5000 0.2423  6 Tb 3.36-3.55, 4 Pm 3.49-3.58
Pm 0.3446 0.9017 0.9017  1 Pm 3.10, 1 Pr 3.47
Pr 0.0000 0.0000 0.0000  6 Pm 3.47
Tb 0.3560 0.0820 0.3560  6 Tb 3.36-3.65, 2 Pm 3.72
Tb 0.6440 0.6440 0.9180  6 Tb 3.36-3.65, 2 Pm 3.72
Tb 0.6440 0.9180 0.6440  6 Tb 3.36-3.65, 2 Pm 3.72
Tb 0.2423 0.5000 0.7577  6 Tb 3.36-3.55, 4 Pm 3.49-3.58
Tb 0.0820 0.3560 0.3560  6 Tb 3.36-3.65, 2 Pm 3.72

V = 34.2 A^3/atom
Formation energy = 0.2068 eV per atom
Energy above the most stable polymorph in this dataset = 59 meV per atom
Density of states at the Fermi level = 32.35 states/eV/f.u.
Crystal system = trigonal

***

Entry from the Alexandria database: crystalline TbPm2Pr at its relaxed geometry (PBE).

Cell lengths 3.6537, 3.6537, 12.0468 Å; angles 81.28, 81.28, 60.00 degrees
Last column: nearest neighbours and their distance in Å.
Positions (direct):
Pr 0.4999 0.4999 0.5003  6 Pr 3.65, 6 Pm 3.69
Pm 0.2517 0.2517 0.2448  3 Tb 3.59, 6 Pm 3.65, 3 Pr 3.69
Pm 0.0816 0.0816 0.7553  3 Tb 3.58, 6 Pm 3.65, 3 Pr 3.69
Tb 0.6668 0.6668 0.9995  6 Pm 3.58-3.59, 6 Tb 3.65

V = 34.3 A^3/atom
Formation energy = 0.0169 eV per atom
Energy above the most stable polymorph in this dataset = 1 meV per atom
Density of states at the Fermi level = 5.91 states/eV/f.u.
Crystal system = trigonal